Pm2UNiO8 | PBE with a Hubbard U | optimized geometry

extended XYZ file:
```
12
Lattice="4.1749 -0.3015 -0.1359 -0.2740 5.3346 0.4364 -0.2208 0.6019 7.5693" Properties=species:S:1:pos:R:3 pbc="T T T"
O 1.1572 1.5671 4.0282
O 0.0955 3.8326 1.7115
O -0.1115 4.8891 5.9135
O 2.5229 4.0679 3.8416
O 3.5846 1.8024 6.1583
O 1.9732 4.5412 7.6618
O 3.7916 0.7459 1.9563
O 1.7069 1.0937 0.2080
Pm 1.5640 3.1328 5.7778
Pm 2.1161 2.5022 2.0920
Ni -0.1104 0.3010 3.7847
U 0.0000 0.0000 0.0000
```

ρ (Mg/m³): 7.117
Calculated volume (Å³ per cell): 167
Total DFT energy (no corrections) (eV/cell): -93.3
Total moment (μB/atom): 0.00